1.
{
  "formula": "Ga2SnTe",
  "functional": "GGA-PBE",
  "state": "optimized geometry",
  "e_form_raw_mev_per_atom": -153,
  "sg": "I-42d (122)",
  "e_tot_ev_per_cell": -27.618,
  "n_ef_per_ev_cell": 0.02,
  "lattice": [[6.278, 0.000, 0.000], [0.000, 6.278, 0.000], [3.139, 3.139, 6.332]],
  "species": ["Ga", "Ga", "Te", "Te", "Sn", "Sn", "Ga", "Ga"],
  "fractional_positions": [[0.143, 0.625, 0.250], [0.875, 0.857, 0.750], [0.750, 0.250, 0.500], [0.000, 0.000, 0.000], [0.500, 0.500, 0.000], [0.250, 0.750, 0.500], [0.607, 0.125, 0.250], [0.375, 0.393, 0.750]]
}



2.
{
  "formula": "GaSn2Te4",
  "functional": "GGA-PBE",
  "state": "optimized geometry",
  "e_form_raw_mev_per_atom": -177,
  "sg": "P2_1/m (11)",
  "e_tot_ev_per_cell": -49.676,
  "n_ef_per_ev_cell": 2.51,
  "lattice": [[-6.546, -4.418, -0.006], [2.170, -3.222, 5.230], [-1.890, 7.446, 5.372]],
  "species": ["Te", "Sn", "Te", "Ga", "Te", "Te", "Ga", "Te", "Sn", "Te", "Te", "Te", "Sn", "Sn"],
  "fractional_positions": [[0.070, 0.750, 0.382], [0.275, 0.250, 0.447], [0.466, 0.512, 0.726], [0.262, 0.750, 0.194], [0.534, 0.012, 0.274], [0.092, 0.750, 0.913], [0.738, 0.250, 0.806], [0.930, 0.250, 0.618], [0.725, 0.750, 0.553], [0.534, 0.488, 0.274], [0.908, 0.250, 0.087], [0.466, 0.988, 0.726], [0.803, 0.750, 0.085], [0.197, 0.250, 0.915]]
}



3.
{
  "formula": "Ga2SnTe",
  "functional": "GGA-PBE",
  "state": "optimized geometry",
  "e_form_raw_mev_per_atom": 24,
  "sg": "P4/mmm (123)",
  "e_tot_ev_per_cell": -13.103,
  "n_ef_per_ev_cell": 2.36,
  "lattice": [[3.987, 0.000, 0.000], [0.000, 3.987, 0.000], [0.000, 0.000, 6.361]],
  "species": ["Ga", "Sn", "Ga", "Te"],
  "fractional_positions": [[0.000, 0.000, 0.246], [0.500, 0.500, 0.500], [0.000, 0.000, 0.754], [0.500, 0.500, 0.000]]
}



4.
{
  "formula": "GaSnTe2",
  "functional": "GGA-PBE",
  "state": "optimized geometry",
  "e_form_raw_mev_per_atom": 10,
  "sg": "R-3m (166)",
  "e_tot_ev_per_cell": -13.274,
  "n_ef_per_ev_cell": 1.90,
  "lattice": [[2.235, 0.000, 9.639], [-1.117, 1.935, 9.639], [-1.117, -1.935, 9.639]],
  "species": ["Te", "Sn", "Ga", "Te"],
  "fractional_positions": [[0.892, 0.892, 0.892], [0.000, 0.000, 0.000], [0.500, 0.500, 0.500], [0.108, 0.108, 0.108]]
}



5.
{
  "formula": "Tl2GaSnTe5",
  "functional": "GGA-PBE",
  "state": "optimized geometry",
  "e_form_raw_mev_per_atom": -205,
  "sg": "Cmc2_1 (36)",
  "e_tot_ev_per_cell": -58.638,
  "n_ef_per_ev_cell": 7.19,
  "lattice": [[-4.037, 0.783, -0.688], [-0.422, -9.632, 4.149], [-1.097, 5.539, 12.748]],
  "species": ["Sn", "Tl", "Te", "Te", "Te", "Ga", "Te", "Te", "Te", "Te", "Ga", "Sn", "Te", "Tl", "Tl", "Te", "Tl", "Te"],
  "fractional_positions": [[0.212, 0.425, 0.031], [0.876, 0.752, 0.812], [0.950, 0.901, 0.551], [0.493, 0.987, 0.774], [0.050, 0.099, 0.051], [0.440, 0.880, 0.433], [0.314, 0.628, 0.380], [0.507, 0.013, 0.274], [0.686, 0.372, 0.880], [0.284, 0.567, 0.682], [0.560, 0.120, 0.933], [0.788, 0.575, 0.531], [0.716, 0.433, 0.182], [0.891, 0.783, 0.171], [0.124, 0.248, 0.312], [0.351, 0.702, 0.989], [0.109, 0.217, 0.671], [0.649, 0.298, 0.489]]
}



6.
{
  "formula": "TlGaSnTe3",
  "functional": "GGA-PBE",
  "state": "optimized geometry",
  "e_form_raw_mev_per_atom": -297,
  "sg": "P2_1/m (11)",
  "e_tot_ev_per_cell": -41.205,
  "n_ef_per_ev_cell": 3.24,
  "lattice": [[-4.134, -0.396, 1.815], [0.166, -9.210, -1.631], [4.050, 1.138, 9.471]],
  "species": ["Te", "Tl", "Te", "Te", "Ga", "Sn", "Sn", "Ga", "Te", "Te", "Te", "Tl"],
  "fractional_positions": [[0.250, 0.084, 0.879], [0.250, 0.222, 0.234], [0.750, 0.457, 0.176], [0.250, 0.801, 0.458], [0.750, 0.920, 0.374], [0.250, 0.670, 0.116], [0.750, 0.330, 0.884], [0.250, 0.080, 0.626], [0.750, 0.916, 0.121], [0.750, 0.199, 0.542], [0.250, 0.543, 0.824], [0.750, 0.778, 0.766]]
}



7.
{
  "formula": "Tl2GaSnTe4",
  "functional": "GGA-PBE",
  "state": "optimized geometry",
  "e_form_raw_mev_per_atom": -288,
  "sg": "I-42m (121)",
  "e_tot_ev_per_cell": -26.634,
  "n_ef_per_ev_cell": 3.75,
  "lattice": [[7.209, 0.000, 0.000], [3.604, 6.079, 0.000], [3.604, 0.000, 6.079]],
  "species": ["Te", "Te", "Te", "Te", "Sn", "Tl", "Ga", "Tl"],
  "fractional_positions": [[0.547, 0.000, 0.357], [0.097, 0.357, 0.000], [0.903, 0.000, 0.643], [0.453, 0.643, 0.000], [0.000, 0.000, 0.000], [0.000, 0.500, 0.500], [0.500, 0.000, 0.000], [0.500, 0.500, 0.500]]
}



8.
{
  "formula": "Tm4GaSnTe2",
  "functional": "GGA-PBE",
  "state": "optimized geometry",
  "e_form_raw_mev_per_atom": -906,
  "sg": "P2/m (10)",
  "e_tot_ev_per_cell": -38.444,
  "n_ef_per_ev_cell": 2.84,
  "lattice": [[4.251, 0.000, 0.000], [0.000, 7.141, 0.066], [0.000, -2.562, 7.300]],
  "species": ["Te", "Tm", "Sn", "Ga", "Tm", "Tm", "Tm", "Te"],
  "fractional_positions": [[0.000, 0.500, 0.500], [0.500, 0.252, 0.236], [0.000, 0.000, 0.000], [0.500, 0.500, 0.000], [0.000, 0.735, 0.233], [0.000, 0.265, 0.767], [0.500, 0.748, 0.764], [0.500, 0.000, 0.500]]
}



Copy entry 3 word for word.
{
  "formula": "Ga2SnTe",
  "functional": "GGA-PBE",
  "state": "optimized geometry",
  "e_form_raw_mev_per_atom": 24,
  "sg": "P4/mmm (123)",
  "e_tot_ev_per_cell": -13.103,
  "n_ef_per_ev_cell": 2.36,
  "lattice": [[3.987, 0.000, 0.000], [0.000, 3.987, 0.000], [0.000, 0.000, 6.361]],
  "species": ["Ga", "Sn", "Ga", "Te"],
  "fractional_positions": [[0.000, 0.000, 0.246], [0.500, 0.500, 0.500], [0.000, 0.000, 0.754], [0.500, 0.500, 0.000]]
}



Q: Number 2 is which compound?
A: GaSn2Te4